Material: VTeO2
Method: DFT, GGA+U
State: relaxed

The value obtained for the total energy is -0.455 Ry/atom. The density of states at the Fermi level is 0.29 states/eV per atom.

Unit cell a=8.354 b=8.354 c=8.354 alpha=90.00 beta=90.00 gamma=90.00
Space group Fd-3m (No. 227, origin choice 2)
One atom of each set of equivalent atoms:
V: 0.125 0.125 0.125
Te: 0.125 0.125 0.625
O: 0.000 0.000 0.000